No. 1
Compound: Tb9Ho2Er
Source: Alexandria via LeMat-Bulk
Functional: PBE
Structure: relaxed

a b c (Å): 5.0114 5.0114 15.0323
angles (deg): 90.00 90.00 90.00
Last column: nearest neighbours and their distance in Å.
Sites, in units of the cell vectors:
Tb 0.0000 0.0000 0.0000  8 Tb 3.54, 4 Er 3.54
Tb 0.0000 0.0000 0.3332  4 Ho 3.54, 8 Tb 3.54
Tb 0.0000 0.0000 0.6668  4 Ho 3.54, 8 Tb 3.54
Tb 0.0000 0.5000 0.1665  8 Tb 3.54, 2 Er 3.54, 2 Ho 3.54
Tb 0.0000 0.5000 0.5000  8 Tb 3.54, 4 Ho 3.55
Tb 0.0000 0.5000 0.8335  8 Tb 3.54, 2 Er 3.54, 2 Ho 3.54
Tb 0.5000 0.0000 0.1665  8 Tb 3.54, 2 Er 3.54, 2 Ho 3.54
Tb 0.5000 0.0000 0.5000  8 Tb 3.54, 4 Ho 3.55
Tb 0.5000 0.0000 0.8335  8 Tb 3.54, 2 Er 3.54, 2 Ho 3.54
Ho 0.5000 0.5000 0.3332  12 Tb 3.54-3.55
Ho 0.5000 0.5000 0.6668  12 Tb 3.54-3.55
Er 0.5000 0.5000 0.0000  12 Tb 3.54

Results
DFT formation energy ... 0.02 eV per atom



No. 2
Compound: V3Cr3Tc2
Source: Alexandria via LeMat-Bulk
Functional: PBE
Structure: relaxed

a b c (Å): 6.9239 6.9239 11.1595
angles (deg): 90.00 90.00 156.26
Last column: nearest neighbours and their distance in Å.
Sites, in units of the cell vectors:
V 0.1078 0.8922 0.5074  4 Cr 2.48-2.50, 3 Tc 2.52-2.59, 1 V 2.71
V 0.1078 0.8922 0.9926  4 Cr 2.48-2.50, 3 Tc 2.52-2.59, 1 V 2.71
V 0.1188 0.8812 0.7500  2 Tc 2.52, 4 Cr 2.59, 2 V 2.71
V 0.8812 0.1188 0.2500  2 Tc 2.52, 4 Cr 2.59, 2 V 2.71
V 0.8922 0.1078 0.0074  4 Cr 2.48-2.50, 3 Tc 2.52-2.59, 1 V 2.71
V 0.8922 0.1078 0.4926  4 Cr 2.48-2.50, 3 Tc 2.52-2.59, 1 V 2.71
Cr 0.1084 0.8916 0.2500  4 Cr 2.42, 4 Tc 2.63
Cr 0.4952 0.5048 0.6279  2 Cr 2.42, 6 V 2.48-2.59
Cr 0.4952 0.5048 0.8721  2 Cr 2.42, 6 V 2.48-2.59
Cr 0.5048 0.4952 0.1279  2 Cr 2.42, 6 V 2.48-2.59
Cr 0.5048 0.4952 0.3721  2 Cr 2.42, 6 V 2.48-2.59
Cr 0.8916 0.1084 0.7500  4 Cr 2.42, 4 Tc 2.63
Tc 0.2700 0.7300 0.6179  4 V 2.52-2.59, 2 Cr 2.63
Tc 0.2700 0.7300 0.8821  4 V 2.52-2.59, 2 Cr 2.63
Tc 0.7300 0.2700 0.1179  4 V 2.52-2.59, 2 Cr 2.63
Tc 0.7300 0.2700 0.3821  4 V 2.52-2.59, 2 Cr 2.63

Results
DFT formation energy ... 0.18 eV per atom



No. 3
Compound: Ho4HgRu2
Source: Alexandria via LeMat-Bulk
Functional: PBE
Structure: relaxed

a b c (Å): 6.9109 6.9426 7.7969
angles (deg): 89.78 63.83 89.54
Last column: nearest neighbours and their distance in Å.
Sites, in units of the cell vectors:
Ho 0.0000 0.0000 0.0000  4 Ru 2.88-3.13, 2 Hg 3.09-3.10
Ho 0.0032 0.5252 0.9722  4 Ru 2.86-3.20, 2 Hg 3.09-3.16
Ho 0.2287 0.0227 0.5265  4 Ru 2.86-3.06, 2 Hg 3.08-3.17
Ho 0.2438 0.5499 0.4955  4 Ru 2.85-3.10, 2 Hg 3.10-3.13
Ho 0.5001 0.9824 0.0093  3 Ru 2.87-2.92, 2 Hg 3.10-3.16
Ho 0.5081 0.5083 0.9615  3 Ru 2.85-2.97, 2 Hg 3.10-3.11
Ho 0.7308 0.0310 0.5334  4 Ru 2.84-3.12, 2 Hg 3.11-3.15
Ho 0.7548 0.5585 0.4904  3 Ru 2.81-2.95, 1 Hg 3.11
Hg 0.1208 0.2703 0.2504  8 Ho 3.08-3.16, 1 Ru 3.42, 1 Hg 3.45
Hg 0.6227 0.2746 0.2446  8 Ho 3.09-3.17, 2 Hg 3.45-3.46
Ru 0.1162 0.7781 0.2577  6 Ho 2.81-3.12
Ru 0.3684 0.7731 0.7551  8 Ho 2.87-2.97
Ru 0.8720 0.7716 0.7470  8 Ho 2.86-2.97
Ru 0.8757 0.2742 0.7445  7 Ho 2.84-3.15

Results
DFT formation energy ... -0.37 eV per atom



No. 4
Compound: Pr12NdY6
Source: Alexandria via LeMat-Bulk
Functional: PBE
Structure: relaxed

a b c (Å): 8.9680 8.9680 8.9680
angles (deg): 99.54 99.54 99.54
Last column: nearest neighbours and their distance in Å.
Sites, in units of the cell vectors:
Pr 0.0000 0.2567 0.7433  6 Pr 3.44-3.62, 4 Y 3.52-3.71
Pr 0.0000 0.7433 0.2567  6 Pr 3.44-3.62, 4 Y 3.52-3.71
Pr 0.1483 0.1483 0.4205  6 Pr 3.44-3.73
Pr 0.1483 0.4205 0.1483  6 Pr 3.44-3.73
Pr 0.2567 0.0000 0.7433  6 Pr 3.44-3.62, 4 Y 3.52-3.71
Pr 0.2567 0.7433 0.0000  6 Pr 3.44-3.62, 4 Y 3.52-3.71
Pr 0.4205 0.1483 0.1483  6 Pr 3.44-3.73
Pr 0.5795 0.8517 0.8517  6 Pr 3.44-3.73
Pr 0.7433 0.0000 0.2567  6 Pr 3.44-3.62, 4 Y 3.52-3.71
Pr 0.7433 0.2567 0.0000  6 Pr 3.44-3.62, 4 Y 3.52-3.71
Pr 0.8517 0.5795 0.8517  6 Pr 3.44-3.73
Pr 0.8517 0.8517 0.5795  6 Pr 3.44-3.73
Nd 0.5000 0.5000 0.5000  6 Y 3.48
Y 0.1651 0.5995 0.5995  3 Y 3.25-3.62, 1 Nd 3.48, 2 Pr 3.52
Y 0.4005 0.4005 0.8349  3 Y 3.25-3.62, 1 Nd 3.48, 2 Pr 3.52
Y 0.4005 0.8349 0.4005  3 Y 3.25-3.62, 1 Nd 3.48, 2 Pr 3.52
Y 0.5995 0.1651 0.5995  3 Y 3.25-3.62, 1 Nd 3.48, 2 Pr 3.52
Y 0.5995 0.5995 0.1651  3 Y 3.25-3.62, 1 Nd 3.48, 2 Pr 3.52
Y 0.8349 0.4005 0.4005  3 Y 3.25-3.62, 1 Nd 3.48, 2 Pr 3.52

Results
DFT formation energy ... 0.18 eV per atom



No. 5
Compound: Ir3PbS
Source: Alexandria via LeMat-Bulk
Functional: PBE
Structure: relaxed

a b c (Å): 4.5287 4.5287 4.5287
angles (deg): 90.00 90.00 90.00
Last column: nearest neighbours and their distance in Å.
Sites, in units of the cell vectors:
Ir 0.0000 0.0000 0.5000  2 S 2.26
Ir 0.0000 0.5000 0.0000  2 S 2.26
Ir 0.5000 0.0000 0.0000  2 S 2.26
Pb 0.5000 0.5000 0.5000  12 Ir 3.20
S 0.0000 0.0000 0.0000  6 Ir 2.26

Results
Formation energy (no corrections) ... 0.725 eV per atom



No. 6
Compound: TmZn6Co4
Source: Alexandria via LeMat-Bulk
Functional: PBE
Structure: relaxed

a b c (Å): 6.2966 6.2966 6.2966
angles (deg): 120.41 120.41 89.29
Last column: nearest neighbours and their distance in Å.
Sites, in units of the cell vectors:
Tm 0.0000 0.0000 0.0000  4 Co 3.10, 12 Zn 3.10-3.30
Zn 0.0000 0.5000 0.5000  4 Co 2.43
Zn 0.0933 0.4829 0.0000  4 Co 2.39-2.57
Zn 0.4829 0.0933 0.0000  4 Co 2.39-2.57
Zn 0.5000 0.0000 0.5000  4 Co 2.43
Zn 0.5171 0.5171 0.6104  4 Co 2.39-2.57
Zn 0.9067 0.9067 0.3896  4 Co 2.39-2.57
Co 0.2779 0.2779 0.6872  2 Co 2.28, 4 Zn 2.39-2.51
Co 0.4093 0.7221 0.0000  2 Co 2.28, 4 Zn 2.39-2.51
Co 0.5907 0.5907 0.3128  2 Co 2.28, 4 Zn 2.39-2.51
Co 0.7221 0.4093 0.0000  2 Co 2.28, 4 Zn 2.39-2.51

Results
DFT formation energy ... 0.04 eV per atom



No. 7
Compound: Tb4Y6Tm
Source: Alexandria via LeMat-Bulk
Functional: PBE
Structure: relaxed

a b c (Å): 5.6103 5.6103 25.7073
angles (deg): 90.00 90.00 119.00
Last column: nearest neighbours and their distance in Å.
Sites, in units of the cell vectors:
Tb 0.0219 0.9781 0.6212  5 Y 3.12-3.31
Tb 0.0219 0.9781 0.8788  5 Y 3.12-3.31
Tb 0.3402 0.6598 0.5428  8 Y 3.42-3.81, 2 Tb 3.68-3.79
Tb 0.3402 0.6598 0.9572  8 Y 3.42-3.81, 2 Tb 3.68-3.79
Tb 0.6598 0.3402 0.0428  8 Y 3.42-3.81, 2 Tb 3.68-3.79
Tb 0.6598 0.3402 0.4572  8 Y 3.42-3.81, 2 Tb 3.68-3.79
Tb 0.9781 0.0219 0.1212  5 Y 3.12-3.31
Tb 0.9781 0.0219 0.3788  5 Y 3.12-3.31
Y 0.0000 0.0000 0.0000  8 Tb 3.12-3.47
Y 0.0000 0.0000 0.5000  8 Tb 3.12-3.47
Y 0.0149 0.9851 0.7500  3 Tm 3.23-3.27, 2 Tb 3.31
Y 0.3158 0.6842 0.1052  5 Tb 3.28-3.60
Y 0.3158 0.6842 0.3948  5 Tb 3.28-3.60
Y 0.3503 0.6497 0.6820  7 Y 3.50-3.82, 4 Tb 3.54-3.65, 3 Tm 3.64-3.72
Y 0.3503 0.6497 0.8180  7 Y 3.50-3.82, 4 Tb 3.54-3.65, 3 Tm 3.64-3.72
Y 0.6497 0.3503 0.1820  7 Y 3.50-3.82, 4 Tb 3.54-3.65, 3 Tm 3.64-3.72
Y 0.6497 0.3503 0.3180  7 Y 3.50-3.82, 4 Tb 3.54-3.65, 3 Tm 3.64-3.72
Y 0.6842 0.3158 0.6052  5 Tb 3.28-3.60
Y 0.6842 0.3158 0.8948  5 Tb 3.28-3.60
Y 0.9851 0.0149 0.2500  3 Tm 3.23-3.27, 2 Tb 3.31
Tm 0.3192 0.6808 0.2500  3 Y 3.23-3.27
Tm 0.6808 0.3192 0.7500  3 Y 3.23-3.27

Results
DFT formation energy ... 0.13 eV per atom



No. 8
Compound: K2RhCl4
Source: Alexandria via LeMat-Bulk
Functional: PBE
Structure: relaxed

a b c (Å): 8.4382 8.4382 8.4382
angles (deg): 145.88 145.88 49.02
Last column: nearest neighbours and their distance in Å.
Sites, in units of the cell vectors:
K 0.1377 0.1377 0.0000  9 Cl 3.16-3.51
K 0.8623 0.8623 0.0000  9 Cl 3.16-3.51
Rh 0.5000 0.5000 0.0000  6 Cl 2.40-2.48
Cl 0.0000 0.5000 0.5000  2 Rh 2.48
Cl 0.3434 0.3434 0.0000  1 Rh 2.40
Cl 0.5000 0.0000 0.5000  2 Rh 2.48
Cl 0.6566 0.6566 0.0000  1 Rh 2.40

Results
Formation energy (no corrections) ... -1.281 eV per atom



No. 9
Compound: Hf3PO
Source: Alexandria via LeMat-Bulk
Functional: PBE
Structure: relaxed

a b c (Å): 7.7946 7.7946 5.7963
angles (deg): 96.21 96.21 79.17
Last column: nearest neighbours and their distance in Å.
Sites, in units of the cell vectors:
Hf 0.0119 0.1907 0.4533  1 O 2.31
Hf 0.1473 0.6391 0.0539  2 O 2.32-2.39, 2 P 2.53-2.59
Hf 0.1907 0.0119 0.9533  1 O 2.31
Hf 0.3016 0.4740 0.5437  3 O 2.25-2.32
Hf 0.3609 0.8527 0.4461  2 O 2.32-2.39, 2 P 2.53-2.59
Hf 0.4740 0.3016 0.0437  3 O 2.25-2.32
Hf 0.5260 0.6984 0.9563  3 O 2.25-2.32
Hf 0.6391 0.1473 0.5539  2 O 2.32-2.39, 2 P 2.53-2.59
Hf 0.6984 0.5260 0.4563  3 O 2.25-2.32
Hf 0.8093 0.9881 0.0467  1 O 2.31
Hf 0.8527 0.3609 0.9461  2 O 2.32-2.39, 2 P 2.53-2.59
Hf 0.9881 0.8093 0.5467  1 O 2.31
P 0.1632 0.3292 0.8351  6 Hf 2.53-2.62
P 0.3292 0.1632 0.3351  6 Hf 2.53-2.62
P 0.6708 0.8368 0.6649  6 Hf 2.53-2.62
P 0.8368 0.6708 0.1649  6 Hf 2.53-2.62
O 0.2601 0.7399 0.7500  6 Hf 2.26-2.32
O 0.4339 0.5661 0.2500  6 Hf 2.25-2.39
O 0.5661 0.4339 0.7500  6 Hf 2.25-2.39
O 0.7399 0.2601 0.2500  6 Hf 2.26-2.32

Results
Formation energy (no corrections) ... -1.271 eV per atom



No. 10
Compound: AlPd2Pb
Source: Alexandria via LeMat-Bulk
Functional: PBE
Structure: relaxed

a b c (Å): 4.6486 4.6486 4.6486
angles (deg): 60.00 60.00 60.00
Last column: nearest neighbours and their distance in Å.
Sites, in units of the cell vectors:
Al 0.0000 0.0000 0.0000  8 Pd 2.85
Pd 0.2500 0.2500 0.2500  4 Pb 2.85, 4 Al 2.85
Pd 0.7500 0.7500 0.7500  4 Pb 2.85, 4 Al 2.85
Pb 0.5000 0.5000 0.5000  8 Pd 2.85

Results
DFT formation energy ... -0.33 eV per atom



No. 11
Compound: YMgRu2Se
Source: Alexandria via LeMat-Bulk
Functional: PBE
Structure: relaxed

a b c (Å): 4.6717 4.6717 4.8043
angles (deg): 90.00 90.00 90.00
Last column: nearest neighbours and their distance in Å.
Sites, in units of the cell vectors:
Y 0.0000 0.0000 0.0000  4 Se 3.30, 8 Ru 3.35
Mg 0.5000 0.5000 0.5000  4 Ru 2.34, 2 Se 2.40
Ru 0.0000 0.5000 0.5000  2 Mg 2.34
Ru 0.5000 0.0000 0.5000  2 Mg 2.34
Se 0.5000 0.5000 0.0000  2 Mg 2.40

Results
Formation energy (no corrections) ... 0.703 eV per atom



No. 12
Compound: NaPuTlSb
Source: Alexandria via LeMat-Bulk
Functional: PBE
Structure: relaxed

a b c (Å): 5.3857 5.3857 5.3857
angles (deg): 60.00 60.00 60.00
Last column: nearest neighbours and their distance in Å.
Sites, in units of the cell vectors:
Na 0.0000 0.0000 0.0000  4 Tl 3.30, 4 Sb 3.30
Pu 0.5000 0.5000 0.5000  4 Tl 3.30, 4 Sb 3.30
Tl 0.7500 0.7500 0.7500  4 Na 3.30, 4 Pu 3.30
Sb 0.2500 0.2500 0.2500  4 Pu 3.30, 4 Na 3.30

Results
Formation energy (no corrections) ... -0.229 eV per atom